# 1
Material: ZnCdAu
Method: DFT, meta-GGA SCAN
State: single point on PBEsol structure

Cell: 2.963 2.963 6.765 Å, 90.00 90.00 120.00°
Fractional positions:
Au (0.000, 0.000, 0.016)
Cd (0.333, 0.667, 0.661)
Zn (0.667, 0.333, 0.323)

The value obtained for the offset from the most stable computed form is 116 meV/atom.



# 2
Material: ZnCd2Au
Method: DFT, meta-GGA SCAN
State: single point on PBEsol structure

Cell: 3.056 4.421 5.543 Å, 90.00 106.00 90.00°
Fractional positions:
Zn (0.816, 0.000, 0.631)
Au (0.684, 0.500, 0.368)
Cd (0.077, 0.000, 0.154)
Cd (0.417, 0.500, 0.835)



# 3
Material: ZnCdAu2
Method: DFT, meta-GGA SCAN
State: single point on PBEsol structure

Cell: 2.944 2.944 9.162 Å, 80.75 80.75 60.00°
Fractional positions:
Zn (0.000, 0.000, 0.000)
Au (0.257, 0.257, 0.230)
Au (0.743, 0.743, 0.770)
Cd (0.500, 0.500, 0.500)



| no. | DFT formation energy (meV per atom) |
| --- | --- |
| 1 | -50 |
| 2 | -115 |
| 3 | -143 |